[1]
VASP calculation (PBE-GGA) on a geometry-optimized PmAg2Hg structure.

Properties
- formation energy from the elements (meV/atom) = -149.2
- VASP energy (eV/atom) = -2.84

Cell: 3.773 3.773 6.601 Å, 90.00 90.00 90.00°
Fractional coordinates of all 4 atoms:
Pm 0.500 0.500 0.500
Ag 0.000 0.000 0.764
Hg 0.500 0.500 0.000
Ag 0.000 0.000 0.236

[2]
VASP calculation (PBE-GGA) on a geometry-optimized Pm6AgHg6 structure.

Properties
- formation energy from the elements (meV/atom) = -231.3
- VASP energy (eV/atom) = -2.78

Cell: 6.372 6.372 10.624 Å, 90.00 90.00 120.00°
Fractional coordinates of all 13 atoms:
Pm 0.667 0.333 0.500
Pm 0.000 0.000 0.690
Hg 0.500 0.000 0.753
Pm 0.667 0.333 0.000
Pm 0.333 0.667 0.000
Ag 0.000 0.000 0.000
Hg 0.000 0.500 0.247
Hg 0.500 0.000 0.247
Hg 0.500 0.500 0.247
Hg 0.000 0.500 0.753
Hg 0.500 0.500 0.753
Pm 0.333 0.667 0.500
Pm 0.000 0.000 0.310

[3]
VASP calculation (PBE-GGA) on a geometry-optimized Pm2Ag3Hg5 structure.

Properties
- formation energy from the elements (meV/atom) = -158.8
- VASP energy (eV/atom) = -2.12

Cell: 6.014 9.503 9.503 Å, 89.12 71.55 71.55°
Fractional coordinates of all 20 atoms:
Ag 0.250 0.000 0.000
Ag 0.369 0.488 0.775
Ag 0.631 0.512 0.225
Ag 0.131 0.225 0.512
Pm 0.373 0.863 0.391
Hg 0.750 0.500 0.500
Pm 0.627 0.137 0.609
Ag 0.750 0.000 0.000
Pm 0.873 0.391 0.863
Hg 0.391 0.262 0.956
Hg 0.508 0.242 0.242
Hg 0.609 0.738 0.044
Hg 0.008 0.242 0.242
Ag 0.869 0.775 0.488
Pm 0.127 0.609 0.137
Hg 0.492 0.758 0.758
Hg 0.992 0.758 0.758
Hg 0.109 0.044 0.738
Hg 0.891 0.956 0.262
Hg 0.250 0.500 0.500

[4]
VASP calculation (PBE-GGA) on a geometry-optimized PmAg6Hg2 structure.

Properties
- formation energy from the elements (meV/atom) = 16.8
- VASP energy (eV/atom) = -2.48

Cell: 3.432 8.367 8.367 Å, 57.21 78.06 78.06°
Fractional coordinates of all 9 atoms:
Ag 0.675 0.001 0.648
Hg 0.143 0.353 0.353
Ag 0.675 0.648 0.001
Pm 0.000 0.000 0.000
Ag 0.500 0.674 0.326
Ag 0.325 0.999 0.352
Ag 0.500 0.326 0.674
Ag 0.325 0.352 0.999
Hg 0.857 0.647 0.647

[5]
VASP calculation (PBE-GGA) on a geometry-optimized Pm4AgHg2 structure.

Properties
- formation energy from the elements (meV/atom) = -255.2
- VASP energy (eV/atom) = -3.46

Cell: 6.479 6.479 6.479 Å, 109.42 109.50 109.50°
Fractional coordinates of all 7 atoms:
Pm 0.000 0.000 0.500
Pm 0.500 0.500 0.500
Hg 0.500 0.500 0.000
Ag 0.000 0.000 0.000
Hg 0.500 0.000 0.500
Pm 0.000 0.500 0.000
Pm 0.500 0.000 0.000

[6]
VASP calculation (PBE-GGA) on a geometry-optimized PmAg3Hg3 structure.

Properties
- formation energy from the elements (meV/atom) = -84.6
- VASP energy (eV/atom) = -2.11

Cell: 7.412 7.412 8.066 Å, 62.64 62.64 60.00°
Fractional coordinates of all 14 atoms:
Hg 0.078 0.820 0.806
Hg 0.704 0.922 0.194
Hg 0.180 0.704 0.194
Pm 0.338 0.338 0.985
Ag 0.262 0.931 0.384
Pm 0.662 0.662 0.015
Hg 0.820 0.296 0.806
Ag 0.069 0.577 0.616
Ag 0.423 0.262 0.384
Hg 0.922 0.180 0.194
Ag 0.931 0.423 0.384
Hg 0.296 0.078 0.806
Ag 0.738 0.069 0.616
Ag 0.577 0.738 0.616